TbScZnCo: optimized geometry, PBE.

Cell: 4.739 4.739 4.739 Å, 60.00 60.00 60.00°
Sites, in units of the cell vectors:
Co 0.500 0.500 0.500
Tb 0.750 0.750 0.750
Zn 0.000 0.000 0.000
Sc 0.250 0.250 0.250

---

ScCoTc: optimized geometry, PBE.

Cell: 2.881 2.881 6.399 Å, 90.00 90.00 120.00°
Sites, in units of the cell vectors:
Co 0.000 0.000 0.988
Sc 0.667 0.333 0.323
Tc 0.333 0.667 0.689

---

ScCo2Tc: optimized geometry, PBE.

Cell: 8.577 8.577 8.577 Å, 18.62 18.62 18.62°
Sites, in units of the cell vectors:
Co 0.004 0.004 0.004
Co 0.496 0.496 0.496
Tc 0.750 0.750 0.750
Sc 0.250 0.250 0.250

---

ScCo2Tc: optimized geometry, PBE.

Cell: 3.556 2.753 6.250 Å, 64.07 90.00 90.00°
Sites, in units of the cell vectors:
Tc 0.500 0.750 0.750
Co 0.000 0.471 0.529
Co 0.000 0.029 0.971
Sc 0.500 0.250 0.250

---

ScCo2Tc: optimized geometry, PBE.

Cell: 4.246 2.766 4.692 Å, 80.44 90.00 90.00°
Sites, in units of the cell vectors:
Co 0.500 0.081 0.295
Co 0.000 0.149 0.953
Tc 0.500 0.747 0.825
Sc 0.000 0.523 0.428

---

ScCo2Tc: optimized geometry, PBE.

Cell: 4.810 4.810 4.482 Å, 75.61 75.61 32.90°
Sites, in units of the cell vectors:
Sc 0.510 0.510 0.456
Co 0.273 0.273 0.275
Co 0.989 0.989 0.954
Tc 0.727 0.727 0.816

---

Number 1: E -20.33 eV/f.u., density of states at the Fermi level 2.7 states/eV/cell, E_form -24 kJ/mol of atoms. Number 2: E -23.07 eV/f.u., density of states at the Fermi level 3.1 states/eV/cell, E_form 24 kJ/mol of atoms. Number 3: E -29.79 eV/f.u., density of states at the Fermi level 5.9 states/eV/cell, E_form 27 kJ/mol of atoms. Number 4: E -30.94 eV/f.u., density of states at the Fermi level 5.5 states/eV/cell, E_form -1 kJ/mol of atoms. Number 5: E -31.14 eV/f.u., density of states at the Fermi level 4.3 states/eV/cell, E_form -6 kJ/mol of atoms. Number 6: E -30.88 eV/f.u., density of states at the Fermi level 4.9 states/eV/cell, E_form 1 kJ/mol of atoms.